Here is an optimized crystal structure of MnV4Fe2 from Alexandria via LeMat-Bulk. Energies are from PBE.

## Properties
N(E_F) (states/eV per cell): 10.83
Energy (eV/atom): -8.143
Energy above the most stable polymorph in this dataset (kJ/mol of atoms): 72.1
Total moment (μB per cell): 0.98
Energy relative to the elements (meV/atom): 796

abc: 4.204 4.204 6.571
angles: 71.34 71.34 90.00
Element x y z (fractional)
Mn 0.000 0.000 0.000
Fe 0.618 0.618 0.764
Fe 0.382 0.382 0.236
V 0.804 0.804 0.393
V 0.196 0.196 0.607
V 0.500 0.000 0.000
V 0.000 0.500 0.000